Material: Cs2RbNa
Method: DFT, GGA-PBE
State: relaxed

Lattice parameters (Å, degrees): 7.4140 7.4140 6.1948 90.00 90.00 90.00
Fractional positions:
1 Cs 0.0000 0.5000 0.0000
2 Cs 0.5000 0.0000 0.0000
3 Rb 0.0000 0.0000 0.5000
4 Na 0.5000 0.5000 0.5000

Output
- Energy above the most stable polymorph in this dataset: 20 meV per atom
- Energy relative to the elements: 30.0 meV per atom
- Space-group type: P4/mmm, No. 123
- Total energy: -0.968 eV per atom
- DOS(E_F): 3.61 states/eV per cell

---

Material: Pm8DySc2
Method: DFT, GGA-PBE
State: relaxed

Lattice parameters (Å, degrees): 9.2935 9.2935 9.2935 145.55 126.40 65.29
Fractional positions:
1 Pm 0.1545 0.3571 0.7974
2 Pm 0.1610 0.1610 0.0000
3 Pm 0.3008 0.0000 0.3008
4 Pm 0.4403 0.6429 0.7974
5 Pm 0.5597 0.3571 0.2026
6 Pm 0.6992 0.0000 0.6992
7 Pm 0.8390 0.8390 0.0000
8 Pm 0.8455 0.6429 0.2026
9 Dy 0.0000 0.5000 0.5000
10 Sc 0.2988 0.7988 0.5000
11 Sc 0.7012 0.2012 0.5000

Output
- Energy above the most stable polymorph in this dataset: 0 meV per atom
- Energy relative to the elements: 123.7 meV per atom
- Space-group type: Immm, No. 71
- Total energy: -4.901 eV per atom
- DOS(E_F): 18.06 states/eV per cell

---

Material: PmAgSnBi
Method: DFT, GGA-PBE
State: relaxed

Lattice parameters (Å, degrees): 5.3607 5.3607 5.3607 60.00 60.00 60.00
Fractional positions:
1 Pm 0.0000 0.0000 0.0000
2 Ag 0.2500 0.2500 0.2500
3 Sn 0.7500 0.7500 0.7500
4 Bi 0.5000 0.5000 0.5000

Output
- Energy relative to the elements: -227.6 meV per atom
- Space-group type: F-43m, No. 216
- Total energy: -4.099 eV per atom
- DOS(E_F): 1.99 states/eV per cell